First-principles (PBE-GGA) data for an optimized crystal structure of HfSbHRh2, as listed in Alexandria via LeMat-Bulk.

Properties
**Final energy**: -6.862 eV per atom
**Magnetization**: 0.0 Bohr magnetons per cell

The structure in extended XYZ format:
```
5
Lattice="-3.6809 0.4313 -1.7890 -1.8401 -0.8058 3.5918 0.0268 4.1167 0.9373" Properties=species:S:1:pos:R:3 pbc="T T T"
H 0.0000 0.0000 0.0000
Sb -2.7471 1.8711 1.3700
Rh -1.8405 0.2156 -0.8945
Rh -0.9200 -0.4029 1.7959
Hf 0.0134 2.0583 0.4687
```